1.
The following is a PBE calculation of a geometry-optimized Ba2AcCdO5 structure, from Alexandria.

DOS at the Fermi energy, states/eV/f.u.: 9.32
Calculated total energy, eV per atom: -5.932
Formation energy from raw total energies, eV per atom: -2.192
Theoretical density, Mg/m³: 6.770

```
Ba2AcCdO5
1.0
1.9010 -7.7965 0.0000
1.9010 7.7965 0.0000
0.0000 0.0000 11.4859
Ba Ac Cd O
4 2 2 10
Direct
0.1090 0.8910 0.5000
0.1247 0.8753 0.0950
0.8753 0.1247 0.5950
0.8910 0.1090 0.0000
0.2138 0.7862 0.8073
0.7862 0.2138 0.3073
0.4863 0.5137 0.2817
0.5137 0.4863 0.7817
0.0575 0.9425 0.8606
0.2820 0.7180 0.4516
0.2997 0.7003 0.1694
0.3693 0.6307 0.8105
0.4986 0.5014 0.5906
0.5014 0.4986 0.0906
0.6307 0.3693 0.3105
0.7003 0.2997 0.6694
0.7180 0.2820 0.9516
0.9425 0.0575 0.3606
```

=====

2.
The following is a PBE calculation of a geometry-optimized BaAcCdPb structure, from Alexandria.

DOS at the Fermi energy, states/eV/f.u.: 5.03
DFT formation energy, eV/atom: -0.397
Calculated total energy, eV per atom: -3.060
Theoretical density, Mg/m³: 7.669

```
BaAcCdPb
1.0
0.0000 4.1992 4.1992
4.1992 0.0000 4.1992
4.1992 4.1992 0.0000
Ba Ac Cd Pb
1 1 1 1
Direct
0.0000 0.0000 0.0000
0.5000 0.5000 0.5000
0.2500 0.2500 0.2500
0.7500 0.7500 0.7500
```